Record 1
## SmHoMg3 (PBE-GGA)

Data for a relaxed SmHoMg3 crystal.

Calculated values
- energy above the lowest structure with this stoichiometry (kJ/mol of atoms) = 10.8
- E_tot (eV for the cell shown) = -107.42

CIF file:
```
data_SmHoMg3
_symmetry_space_group_name_H-M 'C 1 2/c 1'
_symmetry_Int_Tables_number 15
_symmetry_space_group_name_Hall '-C 2yc'
_cell_length_a 22.911
_cell_length_b 14.404
_cell_length_c 3.517
_cell_angle_alpha 90.00
_cell_angle_beta 97.42
_cell_angle_gamma 90.00
loop_
_atom_site_label
_atom_site_type_symbol
_atom_site_fract_x
_atom_site_fract_y
_atom_site_fract_z
_atom_site_occupancy
Sm1 Sm 0.247 0.110 0.456 1
Ho1 Ho 0.000 0.108 0.250 1
Ho2 Ho 0.000 0.327 0.750 1
Mg1 Mg 0.119 0.250 0.378 1
Mg2 Mg 0.122 0.080 0.859 1
Mg3 Mg 0.130 0.421 0.932 1
```

***

Record 2
## Sm6HoMg5 (PBE-GGA)

Data for a relaxed Sm6HoMg5 crystal.

Calculated values
- E_tot (eV for the cell shown) = -41.47

CIF file:
```
data_Sm6HoMg5
_symmetry_space_group_name_H-M 'P 1 2/m 1'
_symmetry_Int_Tables_number 10
_symmetry_space_group_name_Hall '-P 2y'
_cell_length_a 5.469
_cell_length_b 7.750
_cell_length_c 8.710
_cell_angle_alpha 90.00
_cell_angle_beta 108.28
_cell_angle_gamma 90.00
loop_
_atom_site_label
_atom_site_type_symbol
_atom_site_fract_x
_atom_site_fract_y
_atom_site_fract_z
_atom_site_occupancy
Sm1 Sm 0.000 0.239 0.000 1
Sm2 Sm 0.332 0.248 0.660 1
Ho1 Ho 0.500 0.500 0.000 1
Mg1 Mg 0.160 0.500 0.324 1
Mg2 Mg 0.164 0.000 0.334 1
Mg3 Mg 0.500 0.000 0.000 1
```

***

Record 3
## Sm4Ho5Mg2 (PBE-GGA)

Data for a relaxed Sm4Ho5Mg2 crystal.

Calculated values
- energy above the lowest structure with this stoichiometry (kJ/mol of atoms) = 3.3
- E_tot (eV for the cell shown) = -44.04

CIF file:
```
data_Sm4Ho5Mg2
_symmetry_space_group_name_H-M 'P 1 2/m 1'
_symmetry_Int_Tables_number 10
_symmetry_space_group_name_Hall '-P 2y'
_cell_length_a 8.692
_cell_length_b 3.446
_cell_length_c 11.446
_cell_angle_alpha 90.00
_cell_angle_beta 93.89
_cell_angle_gamma 90.00
loop_
_atom_site_label
_atom_site_type_symbol
_atom_site_fract_x
_atom_site_fract_y
_atom_site_fract_z
_atom_site_occupancy
Sm1 Sm 0.148 0.000 0.388 1
Sm2 Sm 0.291 0.000 0.951 1
Ho1 Ho 0.206 0.500 0.669 1
Ho2 Ho 0.426 0.500 0.208 1
Ho3 Ho 0.500 0.500 0.500 1
Mg1 Mg 0.052 0.500 0.131 1
```

***

Record 4
## Sm5Ho2Mg (PBE-GGA)

Data for a relaxed Sm5Ho2Mg crystal.

Calculated values
- energy above the lowest structure with this stoichiometry (kJ/mol of atoms) = 0.0
- E_tot (eV for the cell shown) = -68.50

CIF file:
```
data_Sm5Ho2Mg
_symmetry_space_group_name_H-M 'C m m m'
_symmetry_Int_Tables_number 65
_symmetry_space_group_name_Hall '-C 2 2'
_cell_length_a 9.744
_cell_length_b 14.485
_cell_length_c 3.616
_cell_angle_alpha 90.00
_cell_angle_beta 90.00
_cell_angle_gamma 90.00
loop_
_atom_site_label
_atom_site_type_symbol
_atom_site_fract_x
_atom_site_fract_y
_atom_site_fract_z
_atom_site_occupancy
Sm1 Sm 0.000 0.000 0.000 1
Sm2 Sm 0.241 0.374 0.500 1
Ho1 Ho 0.000 0.242 0.000 1
Mg1 Mg 0.000 0.500 0.000 1
```

***

Number 1: size of the total moment 0.00 μB/f.u.. Number 2: size of the total moment 0.00 μB/f.u.. Number 3: size of the total moment 0.00 μB/f.u.. Number 4: size of the total moment 0.00 μB/f.u..